A relaxed Sn2BPb crystal. Source: Alexandria, functional PBE.

Cell and atoms, written as POSCAR:
```
Sn2BPb
1.0
-5.7580 2.0851 -0.6094
-1.5373 -5.1310 -3.0303
-5.0756 -4.0191 3.1312
Pb B Sn
2 2 4
direct
0.0000 0.0000 0.0000 Pb
0.7500 0.2500 0.5000 Pb
0.5000 0.5000 0.0000 B
0.2500 0.7500 0.5000 B
0.5320 0.1250 0.2500 Sn
0.2180 0.6250 0.2500 Sn
0.3750 0.4680 0.7500 Sn
0.8750 0.7820 0.7500 Sn
```

Calculated values
- calculated total energy (eV per atom) = -4.147


A relaxed Sn3BPb crystal. Source: Alexandria, functional PBE.

Cell and atoms, written as POSCAR:
```
Sn3BPb
1.0
5.8085 0.0000 0.0000
0.0000 5.8085 0.0000
0.0000 0.0000 5.8085
Pb B Sn
1 1 3
direct
0.0000 0.0000 0.0000 Pb
0.5000 0.5000 0.5000 B
0.0000 0.5000 0.0000 Sn
0.0000 0.0000 0.5000 Sn
0.5000 0.0000 0.0000 Sn
```

Calculated values
- calculated total energy (eV per atom) = -2.789


A relaxed SnB2Pb crystal. Source: Alexandria, functional PBE.

Cell and atoms, written as POSCAR:
```
SnB2Pb
1.0
-4.7166 -1.7874 -1.9828
0.8525 -4.8232 2.3200
-4.4603 -1.5992 4.6448
Pb B Sn
2 4 2
direct
0.0000 0.0000 0.0000 Pb
0.7500 0.2500 0.5000 Pb
0.6095 0.1250 0.2500 B
0.1405 0.6250 0.2500 B
0.3750 0.3905 0.7500 B
0.8750 0.8595 0.7500 B
0.5000 0.5000 0.0000 Sn
0.2500 0.7500 0.5000 Sn
```

Calculated values
- calculated total energy (eV per atom) = -4.317


A relaxed Sn3BPb crystal. Source: Alexandria, functional PBE.

Cell and atoms, written as POSCAR:
```
Sn3BPb
1.0
4.9693 0.0000 0.0000
0.0000 4.9693 0.0000
0.0000 0.0000 4.9693
Pb B Sn
1 1 3
direct
0.5000 0.5000 0.5000 Pb
0.0000 0.0000 0.0000 B
0.0000 0.5000 0.0000 Sn
0.0000 0.0000 0.5000 Sn
0.5000 0.0000 0.0000 Sn
```

Calculated values
- calculated total energy (eV per atom) = -3.993


A relaxed Sn2BPb crystal. Source: Alexandria, functional PBE.

Cell and atoms, written as POSCAR:
```
Sn2BPb
1.0
0.0000 3.6485 3.6485
3.6485 0.0000 3.6485
3.6485 3.6485 0.0000
Pb B Sn
1 1 2
direct
0.5000 0.5000 0.5000 Pb
0.0000 0.0000 0.0000 B
0.2500 0.2500 0.2500 Sn
0.7500 0.7500 0.7500 Sn
```

Calculated values
- calculated total energy (eV per atom) = -3.596


A relaxed SrB3Pb crystal. Source: Alexandria, functional PBE.

Cell and atoms, written as POSCAR:
```
SrB3Pb
1.0
4.7710 0.0000 0.0000
0.0000 4.7710 0.0000
0.0000 0.0000 4.7710
Pb Sr B
1 1 3
direct
0.0000 0.0000 0.0000 Pb
0.5000 0.5000 0.5000 Sr
0.0000 0.5000 0.0000 B
0.0000 0.0000 0.5000 B
0.5000 0.0000 0.0000 B
```

Calculated values
- calculated total energy (eV per atom) = -3.289


Number 1: relative energy among the computed polymorphs 0 meV/atom, M_tot 0.00 μB/f.u., energy of formation from the pure elements 451.1 meV/atom. Number 2: relative energy among the computed polymorphs 1203 meV/atom, M_tot 0.00 μB/f.u., energy of formation from the pure elements 1689.5 meV/atom. Number 3: relative energy among the computed polymorphs 0 meV/atom, M_tot 0.00 μB/f.u., energy of formation from the pure elements 949.3 meV/atom. Number 4: relative energy among the computed polymorphs 0 meV/atom, M_tot 0.00 μB/f.u., energy of formation from the pure elements 486.0 meV/atom. Number 5: relative energy among the computed polymorphs 551 meV/atom, M_tot 0.00 μB/f.u., energy of formation from the pure elements 1002.2 meV/atom. Number 6: relative energy among the computed polymorphs 0 meV/atom, M_tot 0.00 μB/f.u., energy of formation from the pure elements 1795.2 meV/atom.